1.
Material: BaP2
Method: DFT, GGA-PBE
State: relaxed

Cell lengths 4.119, 12.127, 6.506 Å; angles 90.00, 90.00, 90.00 degrees
Fractional coordinates of all 12 atoms:
Ba 0.000 0.126 0.250
Ba 0.000 0.874 0.750
Ba 0.500 0.374 0.750
Ba 0.500 0.626 0.250
P 0.000 0.165 0.750
P 0.000 0.414 0.250
P 0.000 0.586 0.750
P 0.000 0.835 0.250
P 0.500 0.086 0.750
P 0.500 0.335 0.250
P 0.500 0.665 0.750
P 0.500 0.914 0.250

Computed properties:
calculated formation energy	-680.9	meV per atom
space-group type	Cmcm (63)

***

2.
Material: Mn2AlCuH
Method: DFT, GGA-PBE
State: relaxed

Cell lengths 3.675, 3.675, 3.950 Å; angles 90.00, 90.00, 90.00 degrees
Fractional coordinates of all 5 atoms:
Mn 0.000 0.500 0.000
Mn 0.500 0.000 0.000
Al 0.000 0.000 0.500
Cu 0.500 0.500 0.500
H 0.000 0.000 0.000

Computed properties:
space-group type	P4/mmm (123)
E_tot	-5.919	eV/atom

***

3.
Material: NaLa2TlCo
Method: DFT, GGA-PBE
State: relaxed

Cell lengths 5.182, 5.182, 5.510 Å; angles 90.00, 90.00, 90.00 degrees
Fractional coordinates of all 5 atoms:
Na 0.000 0.000 0.000
La 0.000 0.500 0.500
La 0.500 0.000 0.500
Tl 0.500 0.500 0.000
Co 0.000 0.000 0.500

Computed properties:
calculated formation energy	-15.2	meV per atom
space-group type	P4/mmm (123)

***

4.
Material: BaNaCa2Rh
Method: DFT, GGA-PBE
State: relaxed

Cell lengths 5.502, 5.502, 5.985 Å; angles 90.00, 90.00, 90.00 degrees
Fractional coordinates of all 5 atoms:
Ba 0.000 0.000 0.000
Na 0.500 0.500 0.000
Ca 0.000 0.500 0.500
Ca 0.500 0.000 0.500
Rh 0.500 0.500 0.500

Computed properties:
calculated formation energy	-59.3	meV per atom
space-group type	P4/mmm (123)

***

5.
Material: Y2GaB2Rh5
Method: DFT, GGA-PBE
State: relaxed

Cell lengths 9.526, 9.526, 3.189 Å; angles 90.00, 90.00, 90.00 degrees
Fractional coordinates of all 20 atoms:
Y 0.176 0.324 0.000
Y 0.324 0.824 0.000
Y 0.676 0.176 0.000
Y 0.824 0.676 0.000
Ga 0.000 0.000 0.000
Ga 0.500 0.500 0.000
B 0.123 0.623 0.000
B 0.377 0.123 0.000
B 0.623 0.877 0.000
B 0.877 0.377 0.000
Rh 0.000 0.500 0.500
Rh 0.070 0.781 0.500
Rh 0.219 0.070 0.500
Rh 0.281 0.570 0.500
Rh 0.430 0.281 0.500
Rh 0.500 0.000 0.500
Rh 0.570 0.719 0.500
Rh 0.719 0.430 0.500
Rh 0.781 0.930 0.500
Rh 0.930 0.219 0.500

Computed properties:
calculated formation energy	-811.3	meV per atom
space-group type	P4/mbm (127)

***

6.
Material: NaReHgO4
Method: DFT, GGA-PBE
State: relaxed

Cell lengths 6.900, 7.521, 7.082 Å; angles 90.00, 118.03, 90.00 degrees
Fractional coordinates of all 14 atoms:
Na 0.120 0.250 0.237
Na 0.880 0.750 0.763
Re 0.206 0.750 0.406
Re 0.794 0.250 0.594
Hg 0.463 0.250 0.937
Hg 0.537 0.750 0.063
O 0.083 0.750 0.573
O 0.124 0.561 0.241
O 0.124 0.939 0.241
O 0.492 0.750 0.566
O 0.508 0.250 0.434
O 0.876 0.061 0.759
O 0.876 0.439 0.759
O 0.917 0.250 0.427

Computed properties:
space-group type	P2_1/m (11)
E_tot	-6.363	eV/atom

***

Total magnetization (μB/atom)
0.000, 1.029, 0.000, 0.000, 0.000, 0.000